{"formula": "BC4", "functional": "PBE-GGA", "state": "optimized geometry", "final_energy_ev_per_fu": -42.18, "spacegroup": "C2/m, No. 12", "de_polymorph_kj_per_mol_fu": 26, "density_g_cm3": 3.22, "total_magnetization_mub_per_cell": 0.00, "delta_e_f_ev_per_atom": 0.278, "cell": [[3.970, 0.048, -2.121], [3.149, 2.418, -2.121], [0.028, 0.010, 6.415]], "species": ["C", "C", "C", "C", "C", "C", "C", "C", "B", "B"], "frac_coords": [[0.798, 0.798, 0.443], [0.804, 0.804, 0.197], [0.602, 0.602, 0.407], [0.189, 0.189, 0.797], [0.596, 0.596, 0.653], [0.394, 0.394, 0.583], [0.006, 0.006, 0.267], [0.211, 0.211, 0.053], [0.016, 0.016, 0.026], [0.384, 0.384, 0.824]]}